Record 1
A plane-wave DFT calculation with PBE-GGA was carried out for an optimized crystal structure of Ir4PtRh7.

Properties
E above lowest polymorph	6.65	eV/f.u.
SG	C2/m (12)
calculated total energy	-86.48	eV per cell
V	193.5	Å³/cell

Cell lengths 4.6665, 8.1908, 5.7766 Å; angles 81.35, 66.18, 73.45 degrees
Element x y z (fractional)
Ir: 0.5670 0.2282 0.6378
Ir: 0.4330 0.7718 0.3622
Ir: 0.7150 0.6795 0.8904
Ir: 0.2850 0.3205 0.1096
Pt: 0.0000 0.0000 0.0000
Rh: 0.7871 0.9089 0.5169
Rh: 0.2129 0.0911 0.4831
Rh: 0.0748 0.6541 0.1964
Rh: 0.9252 0.3459 0.8036
Rh: 0.3578 0.5554 0.7289
Rh: 0.5000 0.0000 0.0000
Rh: 0.6422 0.4446 0.2711


Record 2
A plane-wave DFT calculation with PBE-GGA was carried out for an optimized crystal structure of Ir5PtRh6.

Properties
SG	P6_3/mcm (193)
calculated total energy	-180.24	eV per cell
V	365.7	Å³/cell

Cell lengths 7.3117, 7.3117, 7.8990 Å; angles 90.00, 90.00, 120.00 degrees
Element x y z (fractional)
Ir: 0.6667 0.3333 0.0000
Ir: 0.3333 0.6667 0.5000
Ir: 0.3333 0.6667 0.0000
Ir: 0.6667 0.3333 0.5000
Ir: 0.3747 0.0000 0.2500
Ir: 0.0000 0.3747 0.2500
Ir: 0.6253 0.6253 0.2500
Ir: 0.6253 0.0000 0.7500
Ir: 0.0000 0.6253 0.7500
Ir: 0.3747 0.3747 0.7500
Rh: 0.6938 0.0000 0.0860
Rh: 0.0000 0.6938 0.0860
Rh: 0.3062 0.3062 0.0860
Rh: 0.3062 0.0000 0.5860
Rh: 0.0000 0.3062 0.5860
Rh: 0.6938 0.6938 0.5860
Rh: 0.0000 0.6938 0.4140
Rh: 0.6938 0.0000 0.4140
Rh: 0.3062 0.3062 0.4140
Rh: 0.0000 0.3062 0.9140
Rh: 0.3062 0.0000 0.9140
Rh: 0.6938 0.6938 0.9140
Pt: 0.0000 0.0000 0.2500
Pt: 0.0000 0.0000 0.7500


Record 3
A plane-wave DFT calculation with PBE-GGA was carried out for an optimized crystal structure of IrPt2Rh.

Properties
E above lowest polymorph	0.64	eV/f.u.
SG	P4/mmm (123)
calculated total energy	-27.75	eV per cell
V	61.1	Å³/cell

Cell lengths 4.7539, 4.7539, 2.7029 Å; angles 90.00, 90.00, 90.00 degrees
Element x y z (fractional)
Ir: 0.0000 0.0000 0.5000
Pt: 0.5000 0.0000 0.0000
Pt: 0.0000 0.5000 0.0000
Rh: 0.5000 0.5000 0.5000


Record 4
A plane-wave DFT calculation with PBE-GGA was carried out for an optimized crystal structure of Ir4PtRh5.

Properties
SG	P4/mmm (123)
calculated total energy	-78.42	eV per cell
V	144.5	Å³/cell

Cell lengths 2.7318, 2.7318, 19.3619 Å; angles 90.00, 90.00, 90.00 degrees
Element x y z (fractional)
Ir: 0.0000 0.0000 0.2013
Ir: 0.0000 0.0000 0.4008
Ir: 0.0000 0.0000 0.5992
Ir: 0.0000 0.0000 0.7987
Pt: 0.0000 0.0000 0.0000
Rh: 0.5000 0.5000 0.1046
Rh: 0.5000 0.5000 0.3011
Rh: 0.5000 0.5000 0.5000
Rh: 0.5000 0.5000 0.6989
Rh: 0.5000 0.5000 0.8954


Record order is preserved below.
DFT formation energy: 0.539, 0.361, 0.136, -0.018 eV per atom
Record order is preserved below.
D(E_F): 20.0, 39.1, 4.9, 12.1 states/eV/cell
Record order is preserved below.
Magnetic moment: 0.00, 0.00, 0.00, 0.00 μB per atom